A geometry-optimized SmAlAu4 structure, computed with PBE.

a = 6.3305 Å, b = 6.3305 Å, c = 7.5764 Å
α = 74.49°, β = 74.49°, γ = 57.82°
Closest atoms and distances in Å follow each position.
Fractional coordinates of all 12 atoms:
Sm (0.7818, 0.7818, 0.8159)  5 Au 2.99-3.17
Sm (0.2182, 0.2182, 0.1841)  5 Au 2.99-3.17
Al (0.5604, 0.5604, 0.2494)  5 Au 2.44-2.66
Al (0.4396, 0.4396, 0.7506)  5 Au 2.44-2.66
Au (0.7879, 0.7879, 0.2071)  1 Al 2.44
Au (0.1347, 0.6410, 0.4438)  1 Al 2.55, 1 Au 2.82
Au (0.2542, 0.7458, 0.0000)  2 Al 2.66, 2 Au 2.86
Au (0.3590, 0.8653, 0.5562)  1 Al 2.55, 1 Au 2.82
Au (0.2121, 0.2121, 0.7929)  1 Al 2.44
Au (0.8653, 0.3590, 0.5562)  1 Al 2.55, 1 Au 2.82
Au (0.7458, 0.2542, 0.0000)  2 Al 2.66, 2 Au 2.86
Au (0.6410, 0.1347, 0.4438)  1 Al 2.55, 1 Au 2.82

Results
- Crystal system: monoclinic
- Calculated formation energy: -3.2 eV per formula unit
- SG: C2/m, No. 12
- Excess energy over the best structure of this formula in the dataset: 0.0000 eV per atom

A geometry-optimized SmAlAu structure, computed with PBE.

a = 4.7434 Å, b = 4.7434 Å, c = 4.7434 Å
α = 60.00°, β = 60.00°, γ = 60.00°
Closest atoms and distances in Å follow each position.
Fractional coordinates of all 3 atoms:
Au (0.2500, 0.2500, 0.2500)  4 Al 2.90, 4 Sm 2.90
Al (0.0000, 0.0000, 0.0000)  4 Au 2.90
Sm (0.5000, 0.5000, 0.5000)  4 Au 2.90

Results
- Crystal system: cubic
- Calculated formation energy: -1.6 eV per formula unit
- SG: F-43m, No. 216

A geometry-optimized Sm2Al4SnAu3 structure, computed with PBE.

a = 4.3794 Å, b = 4.3794 Å, c = 10.8835 Å
α = 90.00°, β = 90.00°, γ = 90.00°
Closest atoms and distances in Å follow each position.
Fractional coordinates of all 10 atoms:
Sm (0.5000, 0.0000, 0.2444)  8 Al 3.31-3.45, 6 Au 3.35-3.54, 2 Sn 3.54
Sm (0.0000, 0.5000, 0.7556)  8 Al 3.31-3.45, 6 Au 3.35-3.54, 2 Sn 3.54
Al (0.5000, 0.5000, 0.0000)  4 Au 2.59
Al (0.0000, 0.0000, 0.0000)  4 Au 2.59
Al (0.5000, 0.0000, 0.6487)  3 Au 2.45-2.72, 2 Sn 2.72
Al (0.0000, 0.5000, 0.3513)  3 Au 2.45-2.72, 2 Sn 2.72
Sn (0.5000, 0.5000, 0.5000)  4 Al 2.72
Au (0.0000, 0.0000, 0.5000)  4 Al 2.72
Au (0.5000, 0.0000, 0.8736)  5 Al 2.45-2.59
Au (0.0000, 0.5000, 0.1264)  5 Al 2.45-2.59

Results
- Crystal system: tetragonal
- Calculated formation energy: -6.5 eV per formula unit
- SG: P-4m2, No. 115

A geometry-optimized Sm2AlSnAu6 structure, computed with PBE.

a = 5.7688 Å, b = 9.4533 Å, c = 8.6147 Å
α = 90.00°, β = 90.00°, γ = 90.00°
Closest atoms and distances in Å follow each position.
Fractional coordinates of all 20 atoms:
Sm (0.5000, 0.7435, 0.2402)  7 Au 3.20-3.48, 2 Al 3.55
Sm (0.0000, 0.2565, 0.7402)  7 Au 3.20-3.48, 2 Al 3.55
Sm (0.5000, 0.7435, 0.7598)  7 Au 3.20-3.48, 2 Al 3.55
Sm (0.0000, 0.2565, 0.2598)  7 Au 3.20-3.48, 2 Al 3.55
Al (0.5000, 0.2501, 0.5000)  6 Au 2.50-2.61
Al (0.0000, 0.7499, 0.0000)  6 Au 2.50-2.61
Sn (0.0000, 0.7092, 0.5000)  4 Au 2.68-2.72
Sn (0.5000, 0.2908, 0.0000)  4 Au 2.68-2.72
Au (0.5000, 0.1119, 0.2419)  1 Al 2.58, 1 Sn 2.68, 4 Au 2.80-2.81
Au (0.5000, 0.1119, 0.7581)  1 Al 2.58, 1 Sn 2.68, 4 Au 2.80-2.81
Au (0.0000, 0.8881, 0.2581)  1 Al 2.58, 1 Sn 2.68, 4 Au 2.80-2.81
Au (0.0000, 0.8881, 0.7419)  1 Al 2.58, 1 Sn 2.68, 4 Au 2.80-2.81
Au (0.2433, 0.0222, 0.5000)  1 Al 2.61, 5 Au 2.80-2.81
Au (0.7567, 0.0222, 0.5000)  1 Al 2.61, 5 Au 2.80-2.81
Au (0.2524, 0.4667, 0.5000)  1 Al 2.50, 1 Sn 2.72
Au (0.7476, 0.4667, 0.5000)  1 Al 2.50, 1 Sn 2.72
Au (0.7524, 0.5333, 0.0000)  1 Al 2.50, 1 Sn 2.72
Au (0.2476, 0.5333, 0.0000)  1 Al 2.50, 1 Sn 2.72
Au (0.2567, 0.9778, 0.0000)  1 Al 2.61, 5 Au 2.80-2.81
Au (0.7433, 0.9778, 0.0000)  1 Al 2.61, 5 Au 2.80-2.81

Results
- Crystal system: orthorhombic
- Calculated formation energy: -4.9 eV per formula unit
- SG: Pmmn, No. 59

A geometry-optimized SrSmAl2Au5 structure, computed with PBE.

a = 4.8057 Å, b = 4.8057 Å, c = 8.5067 Å
α = 90.00°, β = 90.00°, γ = 90.00°
Closest atoms and distances in Å follow each position.
Fractional coordinates of all 9 atoms:
Sr (0.0000, 0.0000, 0.5000)  12 Au 3.20-3.40
Sm (0.0000, 0.0000, 0.0000)  8 Au 3.22
Al (0.5000, 0.5000, 0.1555)  4 Au 2.54, 1 Al 2.65
Al (0.5000, 0.5000, 0.8445)  4 Au 2.54, 1 Al 2.65
Au (0.0000, 0.5000, 0.2519)  2 Al 2.54
Au (0.5000, 0.0000, 0.2519)  2 Al 2.54
Au (0.0000, 0.5000, 0.7481)  2 Al 2.54
Au (0.5000, 0.0000, 0.7481)  2 Al 2.54
Au (0.5000, 0.5000, 0.5000)  2 Al 2.93, 8 Au 3.20

Results
- Crystal system: tetragonal
- Calculated formation energy: -5.3 eV per formula unit
- SG: P4/mmm, No. 123

A geometry-optimized Sr2SmAl3Au12 structure, computed with PBE.

a = 8.1266 Å, b = 8.1266 Å, c = 8.1266 Å
α = 68.23°, β = 68.23°, γ = 68.23°
Closest atoms and distances in Å follow each position.
Fractional coordinates of all 18 atoms:
Sr (0.5989, 0.5989, 0.5989)  6 Au 3.05-3.19
Sr (0.4011, 0.4011, 0.4011)  6 Au 3.05-3.19
Sm (0.0000, 0.0000, 0.0000)  6 Au 2.89
Al (0.5000, 0.0000, 0.0000)  6 Au 2.52-2.56
Al (0.0000, 0.5000, 0.0000)  6 Au 2.52-2.56
Al (0.0000, 0.0000, 0.5000)  6 Au 2.52-2.56
Au (0.2997, 0.2997, 0.8391)  2 Al 2.56
Au (0.8520, 0.8520, 0.3905)  1 Al 2.52
Au (0.3905, 0.8520, 0.8520)  1 Al 2.52
Au (0.8391, 0.2997, 0.2997)  2 Al 2.56
Au (0.8520, 0.3905, 0.8520)  1 Al 2.52
Au (0.2997, 0.8391, 0.2997)  2 Al 2.56
Au (0.7003, 0.7003, 0.1609)  2 Al 2.56
Au (0.1480, 0.1480, 0.6095)  1 Al 2.52
Au (0.6095, 0.1480, 0.1480)  1 Al 2.52
Au (0.1609, 0.7003, 0.7003)  2 Al 2.56
Au (0.1480, 0.6095, 0.1480)  1 Al 2.52
Au (0.7003, 0.1609, 0.7003)  2 Al 2.56

Results
- Crystal system: trigonal
- Calculated formation energy: -4.8 eV per formula unit
- SG: R-3m, No. 166

Which of these has the highest calculated formation energy?
SmAlAu